1.
DFT (PBE-GGA) results for CuRh2Cl after structural relaxation.

The structure in POSCAR format:
```
CuRh2Cl
1.0
2.867 0.001 0.000
-1.478 2.457 0.000
0.000 0.000 8.462
Cl Cu Rh
1 1 2
Cartesian
0.000 0.000 4.308
0.695 1.229 6.280
0.695 1.229 2.153
0.000 0.000 8.416
```

Values from the calculation:
density of states at the Fermi level = 1.2381 states/eV per atom
uncorrected energy = -0.354 Ry per atom
space group = No. 35
volume = 14.9 A^3/atom
distance to the lowest polymorph of the same formula = 163.2 meV per atom
formation energy from raw total energies = 0.344 eV/atom

=====

2.
DFT (PBE-GGA) results for Ho6TmIn after structural relaxation.

The structure in POSCAR format:
```
Ho6TmIn
1.0
6.367 -0.696 -1.320
-3.014 5.651 -1.320
-1.888 -2.790 8.562
Ho In Tm
6 1 1
Cartesian
3.121 0.240 0.904
-0.802 -1.185 5.945
2.403 -0.821 5.019
-0.939 2.986 0.904
-1.656 1.925 5.019
2.266 3.350 -0.022
0.000 0.000 0.000
0.732 1.082 2.961
```

Values from the calculation:
density of states at the Fermi level = 1.0178 states/eV per atom
uncorrected energy = -0.316 Ry per atom
space group = No. 162
volume = 30.0 A^3/atom
distance to the lowest polymorph of the same formula = 153.2 meV per atom
formation energy = 0.04 eV/atom

=====

3.
DFT (PBE-GGA) results for K2CrAgBr6 after structural relaxation.

The structure in POSCAR format:
```
K2CrAgBr6
1.0
-5.469 -1.860 -4.637
5.042 -3.313 -4.618
-1.300 -9.146 5.141
Br K Ag Cr
12 4 2 2
Cartesian
1.883 -3.162 -4.272
-3.609 -11.157 0.157
1.079 -8.779 1.286
-2.806 -5.539 -5.401
-0.873 -9.078 -4.596
1.751 -10.806 -2.777
-3.478 -3.512 -1.338
0.053 -1.397 -1.691
-3.030 -7.098 -1.715
-1.780 -12.921 -2.423
-0.854 -5.240 0.481
1.303 -7.221 -2.400
-0.956 -9.703 -1.177
-0.770 -4.615 -2.938
4.269 -5.410 -3.115
-5.996 -8.908 -1.000
-2.735 -0.930 -2.319
1.871 -6.229 0.261
-3.385 -5.503 0.252
2.521 -1.656 -2.309
```

Values from the calculation:
uncorrected energy = -0.260 Ry per atom
space group = No. 14
volume = 29.7 A^3/atom
formation energy from raw total energies = -1.061 eV/atom

=====

4.
DFT (PBE-GGA) results for CaRu3 after structural relaxation.

The structure in POSCAR format:
```
CaRu3
1.0
4.508 0.000 0.000
2.254 3.904 0.000
2.254 1.301 3.681
Ru Ca
3 1
Cartesian
6.762 3.904 2.761
2.254 1.301 0.920
4.508 2.603 1.840
0.000 0.000 0.000
```

Values from the calculation:
density of states at the Fermi level = 1.0956 states/eV per atom
uncorrected energy = -0.507 Ry per atom
space group = No. 225
volume = 16.2 A^3/atom
formation energy = 0.56 eV/atom